Entry 1:
KBaP2S: relaxed, PBE.

The structure in POSCAR format:
```
KBaP2S
1.0
6.245 0.000 0.000
0.000 6.245 0.000
0.000 0.000 5.866
K Ba P S
1 1 2 1
Direct
0.000 0.000 0.000
0.500 0.500 0.500
0.000 0.500 0.500
0.500 0.000 0.500
0.500 0.500 0.000
```

## Properties
**Electronic total energy**: -3.203 eV/atom
**ΔE_f (raw)**: 0.390 eV/atom
**Magnetization**: 4.5 Bohr magnetons per cell
**Relative energy among the computed polymorphs**: 0.0 kJ/mol of formula units
**Space-group type**: P4/mmm

=====

Entry 2:
KBaPSe4: relaxed, PBE.

The structure in POSCAR format:
```
KBaPSe4
1.0
12.726 0.000 0.000
0.000 7.114 0.000
0.000 0.000 10.286
K Ba P Se
4 4 4 16
Direct
0.130 0.250 0.166
0.370 0.750 0.666
0.630 0.250 0.334
0.870 0.750 0.834
0.142 0.250 0.620
0.358 0.750 0.120
0.642 0.250 0.880
0.858 0.750 0.380
0.173 0.750 0.396
0.327 0.250 0.896
0.673 0.750 0.104
0.827 0.250 0.604
0.076 0.750 0.576
0.080 0.750 0.212
0.223 0.501 0.894
0.223 0.999 0.894
0.277 0.001 0.394
0.277 0.499 0.394
0.420 0.250 0.712
0.424 0.250 0.076
0.576 0.750 0.924
0.580 0.750 0.288
0.723 0.501 0.606
0.723 0.999 0.606
0.777 0.001 0.106
0.777 0.499 0.106
0.920 0.250 0.788
0.924 0.250 0.424
```

## Properties
**Electronic total energy**: -4.225 eV/atom
**ΔE_f (raw)**: -1.029 eV/atom
**Magnetization**: 0.0 Bohr magnetons per cell
**Relative energy among the computed polymorphs**: 1.8 kJ/mol of formula units
**Space-group type**: Pnma

=====

Entry 3:
KBaP2Se8: relaxed, PBE.

The structure in POSCAR format:
```
KBaP2Se8
1.0
6.598 -3.018 0.000
6.598 3.018 0.000
-2.178 0.000 9.566
K Ba P Se
1 1 2 8
Direct
0.000 0.000 0.000
0.500 0.500 0.500
0.248 0.248 0.771
0.752 0.752 0.229
0.083 0.083 0.654
0.088 0.609 0.707
0.257 0.257 0.001
0.391 0.912 0.293
0.609 0.088 0.707
0.743 0.743 0.999
0.912 0.391 0.293
0.917 0.917 0.346
```

## Properties
**Electronic total energy**: -3.977 eV/atom
**ΔE_f (raw)**: -0.500 eV/atom
**Magnetization**: 0.0 Bohr magnetons per cell
**Space-group type**: C2/m

=====

Entry 4:
KBaP2Se: relaxed, PBE.

The structure in POSCAR format:
```
KBaP2Se
1.0
6.224 0.000 0.000
0.000 6.224 0.000
0.000 0.000 6.178
K Ba P Se
1 1 2 1
Direct
0.000 0.000 0.000
0.500 0.500 0.500
0.000 0.500 0.500
0.500 0.000 0.500
0.500 0.500 0.000
```

## Properties
**Electronic total energy**: -3.106 eV/atom
**ΔE_f (raw)**: 0.359 eV/atom
**Magnetization**: 4.4 Bohr magnetons per cell
**Space-group type**: P4/mmm

=====

Entry 5:
KBaPSe4: relaxed, PBE.

The structure in POSCAR format:
```
KBaPSe4
1.0
7.090 0.000 0.000
0.000 7.098 0.000
-2.717 0.000 9.371
K Ba P Se
2 2 2 8
Direct
0.243 0.250 0.441
0.757 0.750 0.559
0.276 0.250 0.960
0.724 0.750 0.040
0.310 0.750 0.208
0.690 0.250 0.792
0.096 0.750 0.335
0.170 0.750 0.972
0.495 0.501 0.743
0.495 0.999 0.743
0.505 0.001 0.257
0.505 0.499 0.257
0.830 0.250 0.028
0.904 0.250 0.665
```

## Properties
**Electronic total energy**: -4.228 eV/atom
**ΔE_f (raw)**: -1.032 eV/atom
**Magnetization**: 0.0 Bohr magnetons per cell
**Relative energy among the computed polymorphs**: 0.0 kJ/mol of formula units
**Space-group type**: P2_1/m

=====

Entry 6:
KBaSnP2: relaxed, PBE.

The structure in POSCAR format:
```
KBaSnP2
1.0
5.543 0.000 0.000
0.000 5.543 0.000
0.000 0.000 5.545
K Ba Sn P
1 1 1 2
Direct
0.000 0.000 0.000
0.500 0.500 0.500
0.000 0.000 0.500
0.000 0.500 0.000
0.500 0.000 0.000
```

## Properties
**Electronic total energy**: -2.901 eV/atom
**Energy relative to the elements**: 667 meV per atom
**Magnetization**: 0.0 Bohr magnetons per cell
**Space-group type**: P4/mmm

=====

Entry 7:
K4Ba2SnP4: relaxed, PBE.

The structure in POSCAR format:
```
K4Ba2SnP4
1.0
5.206 -8.973 0.000
5.206 8.973 0.000
-0.319 0.000 7.875
K Ba Sn P
8 4 2 8
Direct
0.057 0.348 0.476
0.071 0.929 0.500
0.152 0.681 0.796
0.338 0.484 0.950
0.348 0.057 0.976
0.484 0.338 0.450
0.681 0.152 0.296
0.929 0.071 0.000
0.265 0.738 0.292
0.684 0.740 0.302
0.738 0.265 0.792
0.740 0.684 0.802
0.537 0.870 0.683
0.870 0.537 0.183
0.008 0.814 0.097
0.012 0.410 0.080
0.409 0.601 0.558
0.410 0.012 0.580
0.541 0.859 0.012
0.601 0.409 0.058
0.814 0.008 0.597
0.859 0.541 0.512
```

## Properties
**Electronic total energy**: -3.687 eV/atom
**Energy relative to the elements**: -607 meV per atom
**Magnetization**: 0.0 Bohr magnetons per cell
**Space-group type**: Cc

=====

Entry 8:
KBaP2W: relaxed, PBE.

The structure in POSCAR format:
```
KBaP2W
1.0
5.543 0.000 0.000
0.000 5.543 0.000
0.000 0.000 5.406
K Ba P W
1 1 2 1
Direct
0.000 0.000 0.000
0.500 0.500 0.500
0.000 0.500 0.000
0.500 0.000 0.000
0.000 0.000 0.500
```

## Properties
**Electronic total energy**: -3.572 eV/atom
**Energy relative to the elements**: 1787 meV per atom
**Magnetization**: 4.3 Bohr magnetons per cell
**Space-group type**: P4/mmm

=====

Entry 9:
KBaZr2P: relaxed, PBE.

The structure in POSCAR format:
```
KBaZr2P
1.0
5.120 0.000 0.000
0.000 5.120 0.000
0.000 0.000 6.192
K Ba Zr P
1 1 2 1
Direct
0.000 0.000 0.000
0.500 0.500 0.000
0.000 0.500 0.500
0.500 0.000 0.500
0.000 0.000 0.500
```

## Properties
**Electronic total energy**: -4.984 eV/atom
**Energy relative to the elements**: 122 meV per atom
**Magnetization**: 1.0 Bohr magnetons per cell
**Space-group type**: P4/mmm

=====

Entry 10:
KBa2PaS5: relaxed, PBE.

The structure in POSCAR format:
```
KBa2PaS5
1.0
-2.606 3.838 7.467
2.606 -3.838 7.467
2.606 3.838 -7.467
K Ba Pa S
1 2 1 5
Direct
0.000 0.000 0.000
0.288 0.788 0.500
0.712 0.212 0.500
0.500 0.500 0.000
0.137 0.369 0.768
0.399 0.631 0.768
0.500 0.000 0.500
0.601 0.369 0.232
0.863 0.631 0.232
```

## Properties
**Electronic total energy**: -5.692 eV/atom
**ΔE_f (raw)**: -1.795 eV/atom
**Magnetization**: 0.0 Bohr magnetons per cell
**Space-group type**: Immm

=====

Entry 11:
KBaPaS4: relaxed, PBE.

The structure in POSCAR format:
```
KBaPaS4
1.0
-2.636 2.636 7.942
2.636 -2.636 7.942
2.636 2.636 -7.942
K Ba Pa S
1 1 1 4
Direct
0.000 0.000 0.000
0.716 0.716 0.000
0.359 0.359 0.000
0.196 0.196 0.000
0.351 0.851 0.500
0.520 0.520 0.000
0.851 0.351 0.500
```

## Properties
**Electronic total energy**: -5.864 eV/atom
**ΔE_f (raw)**: -1.718 eV/atom
**Magnetization**: 0.0 Bohr magnetons per cell
**Space-group type**: I4mm

=====

Entry 12:
K2BaPaSe4: relaxed, PBE.

The structure in POSCAR format:
```
K2BaPaSe4
1.0
7.947 0.000 0.000
0.000 4.460 0.000
-2.591 0.000 7.673
K Ba Pa Se
2 1 1 4
Direct
0.000 0.000 0.000
0.500 0.500 0.000
0.000 0.500 0.500
0.500 0.000 0.500
0.278 0.000 0.715
0.291 0.500 0.293
0.709 0.500 0.707
0.722 0.000 0.285
```

## Properties
**Electronic total energy**: -4.980 eV/atom
**ΔE_f (raw)**: -1.536 eV/atom
**Magnetization**: 1.0 Bohr magnetons per cell
**Space-group type**: P2/m